Density functional theory data (PBE-GGA) for HfGa8Au2 after structural relaxation.

a b c (Å): 11.2526 8.4973 4.8337
angles (deg): 90.00 101.30 90.00
Last column: nearest neighbours and their distance in Å.
Space group C2/m (No. 12)
Asymmetric unit:
Hf (0.0000, 0.0000, 0.0000) (multiplicity 2)  6 Ga 2.80-2.84, 4 Au 2.83-2.87
Ga (0.0730, 0.2880, 0.7859) (multiplicity 8)  5 Ga 2.63-2.93, 1 Au 2.84, 1 Hf 2.84
Ga (0.1171, 0.5000, 0.3376) (multiplicity 4)  1 Au 2.71, 6 Ga 2.74-2.93
Ga (0.2461, 0.5000, 0.8798) (multiplicity 4)  4 Ga 2.63-2.87, 2 Au 2.70-2.78, 1 Hf 2.80
Au (0.1376, 0.0000, 0.5579) (multiplicity 4)  5 Ga 2.70-2.84, 2 Hf 2.83-2.87

## Properties
Magnetization = 0.000 μB per atom
Final energy = -3.788 eV/atom


Density functional theory data (PBE-GGA) for Hf3Ga2Au4 after structural relaxation.

a b c (Å): 9.9972 4.6042 8.4662
angles (deg): 90.00 122.45 90.00
Last column: nearest neighbours and their distance in Å.
Space group C2/m (No. 12)
Asymmetric unit:
Hf (0.0000, 0.0000, 0.0000) (multiplicity 2)  8 Au 2.99-3.17, 2 Hf 3.00, 4 Ga 3.06
Hf (0.1644, 0.5000, 0.6707) (multiplicity 4)  4 Ga 2.98-3.10, 2 Hf 2.99-3.00, 8 Au 3.01-3.09
Ga (0.1092, 0.5000, 0.2802) (multiplicity 4)  3 Au 2.59-2.61
Au (0.0658, 0.0000, 0.3918) (multiplicity 4)  2 Ga 2.61, 1 Au 2.77
Au (0.2117, 0.5000, 0.0568) (multiplicity 4)  1 Ga 2.59, 2 Au 2.76

## Properties
Magnetization = 0.000 μB per atom
Final energy = -5.932 eV/atom


Which value of final energy does entry 1 give?
-3.788 eV/atom


Please write out number 2 again, unchanged.
Density functional theory data (PBE-GGA) for Hf3Ga2Au4 after structural relaxation.

a b c (Å): 9.9972 4.6042 8.4662
angles (deg): 90.00 122.45 90.00
Last column: nearest neighbours and their distance in Å.
Space group C2/m (No. 12)
Asymmetric unit:
Hf (0.0000, 0.0000, 0.0000) (multiplicity 2)  8 Au 2.99-3.17, 2 Hf 3.00, 4 Ga 3.06
Hf (0.1644, 0.5000, 0.6707) (multiplicity 4)  4 Ga 2.98-3.10, 2 Hf 2.99-3.00, 8 Au 3.01-3.09
Ga (0.1092, 0.5000, 0.2802) (multiplicity 4)  3 Au 2.59-2.61
Au (0.0658, 0.0000, 0.3918) (multiplicity 4)  2 Ga 2.61, 1 Au 2.77
Au (0.2117, 0.5000, 0.0568) (multiplicity 4)  1 Ga 2.59, 2 Au 2.76

## Properties
Magnetization = 0.000 μB per atom
Final energy = -5.932 eV/atom